The following is a DFT calculation (PBE) of a geometry-optimized Nd8P3CBr4 structure.

POSCAR file:
```
Nd8P3CBr4
1.0
-0.128 7.778 -2.598
1.559 -2.697 -8.153
-6.494 -3.122 3.918
Nd P C Br
8 3 1 4
Direct
0.218 0.694 0.976 Nd
0.218 0.694 0.436 Nd
0.266 0.299 0.533 Nd
0.758 0.694 0.976 Nd
0.242 0.306 0.024 Nd
0.734 0.701 0.467 Nd
0.782 0.306 0.564 Nd
0.782 0.306 0.024 Nd
0.500 0.500 0.000 P
0.500 0.500 0.500 P
0.000 0.500 0.500 P
0.000 0.500 0.000 C
0.500 0.000 0.000 Br
0.500 0.000 0.500 Br
0.000 0.000 0.000 Br
0.000 0.000 0.500 Br
```

=====

The following is a DFT calculation (PBE) of a geometry-optimized Nd4PtCBr2 structure.

POSCAR file:
```
Nd4PtCBr2
1.0
3.950 0.000 0.000
0.000 7.291 0.178
0.000 -2.520 7.372
Nd Pt C Br
4 1 1 2
Direct
0.500 0.256 0.193 Nd
0.500 0.744 0.807 Nd
0.000 0.297 0.810 Nd
0.000 0.703 0.190 Nd
0.000 0.000 0.000 Pt
0.500 0.500 0.000 C
0.500 0.000 0.500 Br
0.000 0.500 0.500 Br
```

=====

The following is a DFT calculation (PBE) of a geometry-optimized Nd8Pt3CBr4 structure.

POSCAR file:
```
Nd8Pt3CBr4
1.0
-5.243 -1.539 -6.284
6.992 -0.668 -5.670
0.014 -4.927 6.713
Nd Pt C Br
8 3 1 4
Direct
0.219 0.690 0.971 Nd
0.219 0.690 0.438 Nd
0.267 0.301 0.534 Nd
0.752 0.690 0.971 Nd
0.248 0.310 0.029 Nd
0.733 0.699 0.466 Nd
0.781 0.310 0.562 Nd
0.781 0.310 0.029 Nd
0.500 0.500 0.000 Pt
0.500 0.500 0.500 Pt
0.000 0.500 0.500 Pt
0.000 0.500 0.000 C
0.500 0.000 0.000 Br
0.500 0.000 0.500 Br
0.000 0.000 0.000 Br
0.000 0.000 0.500 Br
```

=====

The following is a DFT calculation (PBE) of a geometry-optimized Nd6Pt2CBr3 structure.

POSCAR file:
```
Nd6Pt2CBr3
1.0
-5.138 4.789 -1.134
-1.090 -5.367 4.542
4.756 4.435 4.544
Nd Pt C Br
6 2 1 3
Direct
0.936 0.632 0.806 Nd
0.759 0.759 0.195 Nd
0.064 0.368 0.194 Nd
0.632 0.936 0.806 Nd
0.241 0.241 0.805 Nd
0.368 0.064 0.194 Nd
0.333 0.667 0.000 Pt
0.667 0.333 0.000 Pt
0.000 0.000 0.000 C
0.166 0.834 0.500 Br
0.834 0.166 0.500 Br
0.500 0.500 0.500 Br
```

=====

The following is a DFT calculation (PBE) of a geometry-optimized Nd8Rh3CBr3 structure.

POSCAR file:
```
Nd8Rh3CBr3
1.0
-5.371 6.157 -0.607
0.840 -4.022 7.096
6.664 5.589 -2.361
Nd Rh C Br
8 3 1 3
Direct
0.266 0.533 0.299 Nd
0.734 0.467 0.701 Nd
0.782 0.564 0.315 Nd
0.218 0.436 0.685 Nd
0.782 0.032 0.315 Nd
0.218 0.968 0.685 Nd
0.250 0.032 0.315 Nd
0.750 0.968 0.685 Nd
0.500 0.000 0.500 Rh
0.500 0.500 0.500 Rh
0.000 0.500 0.500 Rh
0.000 0.000 0.500 C
0.000 0.000 0.000 Br
0.000 0.500 0.000 Br
0.500 0.500 0.000 Br
```

=====

The following is a DFT calculation (PBE) of a geometry-optimized Nd6Rh2CBr3 structure.

POSCAR file:
```
Nd6Rh2CBr3
1.0
7.051 0.002 0.007
-3.522 6.109 0.007
-1.169 -2.025 7.662
Nd Rh C Br
6 2 1 3
Direct
0.939 0.628 0.812 Nd
0.749 0.749 0.188 Nd
0.061 0.372 0.188 Nd
0.628 0.939 0.812 Nd
0.251 0.251 0.812 Nd
0.372 0.061 0.188 Nd
0.333 0.667 0.000 Rh
0.667 0.333 0.000 Rh
0.000 0.000 0.000 C
0.163 0.837 0.500 Br
0.837 0.163 0.500 Br
0.500 0.500 0.500 Br
```

=====

The following is a DFT calculation (PBE) of a geometry-optimized Nd8Ru3CBr3 structure.

POSCAR file:
```
Nd8Ru3CBr3
1.0
8.126 0.000 0.000
-4.063 7.040 -0.034
0.000 -4.666 7.786
Nd Ru C Br
8 3 1 3
Direct
0.264 0.529 0.294 Nd
0.736 0.471 0.706 Nd
0.782 0.563 0.319 Nd
0.218 0.437 0.681 Nd
0.782 0.036 0.319 Nd
0.218 0.964 0.681 Nd
0.255 0.036 0.319 Nd
0.745 0.964 0.681 Nd
0.500 0.000 0.500 Ru
0.500 0.500 0.500 Ru
0.000 0.500 0.500 Ru
0.000 0.000 0.500 C
0.000 0.000 0.000 Br
0.000 0.500 0.000 Br
0.500 0.500 0.000 Br
```

=====

The following is a DFT calculation (PBE) of a geometry-optimized Nd6Ru2CBr3 structure.

POSCAR file:
```
Nd6Ru2CBr3
1.0
-3.330 4.506 4.209
-3.121 -2.285 -5.844
-0.868 -6.627 4.459
Nd Ru C Br
6 2 1 3
Direct
0.938 0.625 0.812 Nd
0.748 0.748 0.188 Nd
0.062 0.375 0.188 Nd
0.625 0.938 0.812 Nd
0.252 0.252 0.812 Nd
0.375 0.062 0.188 Nd
0.333 0.667 0.000 Ru
0.667 0.333 0.000 Ru
0.000 0.000 0.000 C
0.165 0.835 0.500 Br
0.835 0.165 0.500 Br
0.500 0.500 0.500 Br
```

=====

The following is a DFT calculation (PBE) of a geometry-optimized Nd6C3S2Br structure.

POSCAR file:
```
Nd6C3S2Br
1.0
3.880 0.000 0.000
0.000 8.158 0.021
-1.940 -2.635 8.413
Nd C S Br
6 3 2 1
Direct
0.321 0.936 0.641 Nd
0.661 0.600 0.322 Nd
0.679 0.064 0.359 Nd
0.989 0.284 0.979 Nd
0.011 0.716 0.021 Nd
0.339 0.400 0.678 Nd
0.500 0.500 0.000 C
0.832 0.168 0.665 C
0.168 0.832 0.335 C
0.836 0.672 0.672 S
0.164 0.328 0.328 S
0.500 0.000 0.000 Br
```

=====

The following is a DFT calculation (PBE) of a geometry-optimized Nd8C3SBr4 structure.

POSCAR file:
```
Nd8C3SBr4
1.0
-5.346 -5.467 1.587
6.261 -5.953 0.585
0.659 6.271 4.607
Nd C S Br
8 3 1 4
Direct
0.240 0.687 0.947 Nd
0.240 0.687 0.479 Nd
0.272 0.316 0.544 Nd
0.708 0.687 0.947 Nd
0.292 0.313 0.053 Nd
0.728 0.684 0.456 Nd
0.760 0.313 0.521 Nd
0.760 0.313 0.053 Nd
0.500 0.500 0.000 C
0.500 0.500 0.500 C
0.000 0.500 0.500 C
0.000 0.500 0.000 S
0.500 0.000 0.000 Br
0.500 0.000 0.500 Br
0.000 0.000 0.000 Br
0.000 0.000 0.500 Br
```

=====

The following is a DFT calculation (PBE) of a geometry-optimized Nd6C2S3Br structure.

POSCAR file:
```
Nd6C2S3Br
1.0
-0.422 -0.748 3.846
8.013 -1.824 0.525
0.176 8.941 -0.261
Nd C S Br
6 2 3 1
Direct
0.322 0.871 0.643 Nd
0.675 0.567 0.349 Nd
0.678 0.129 0.357 Nd
0.020 0.282 0.041 Nd
0.980 0.718 0.959 Nd
0.325 0.433 0.651 Nd
0.831 0.666 0.661 C
0.169 0.334 0.339 C
0.500 0.500 0.000 S
0.841 0.162 0.683 S
0.159 0.838 0.317 S
0.500 0.000 0.000 Br
```

=====

The following is a DFT calculation (PBE) of a geometry-optimized Nd4CS2Br structure.

POSCAR file:
```
Nd4CS2Br
1.0
3.981 0.000 0.000
0.000 6.881 -0.125
0.000 2.445 6.902
Nd C S Br
4 1 2 1
Direct
0.000 0.749 0.707 Nd
0.000 0.251 0.293 Nd
0.500 0.726 0.291 Nd
0.500 0.274 0.709 Nd
0.000 0.500 0.500 C
0.000 0.000 0.000 S
0.500 0.000 0.500 S
0.500 0.500 0.000 Br
```

=====

Formation energy without anion corrections / eV per atom: -1.345; -0.970; -1.085; -1.059; -0.804; -0.945; -0.605; -0.775; -1.024; -1.079; -1.300; -1.361